Density functional theory data (PBE) for a relaxed Ac2Co2Ge2C crystal.

As for the density of states at the Fermi level: 4.47 states/eV/f.u. Its size of the total moment is 0.0 μB/f.u. As for the total energy: -44.17 eV/cell. The symmetry is C2/m (12). The calculation puts the volume at 20.20 A^3/atom. The energy of formation comes out at -0.469 eV per atom.

a b c (Å): 4.2225 6.2166 6.2267
angles (deg): 72.52 70.18 70.15
With the nearest neighbours (Å) after each atom.
Fractional positions:
Ac 0.5547 0.1950 0.6956  2 C 2.84
Ac 0.4453 0.8050 0.3044  2 C 2.84
Co 0.1796 0.7336 0.9072  1 C 1.75
Co 0.8204 0.2664 0.0928  1 C 1.75
Ge 0.1954 0.3819 0.2272  3 Co 2.40-2.48
Ge 0.8046 0.6181 0.7728  3 Co 2.40-2.48
C 0.0000 0.0000 0.0000  2 Co 1.75